Compound: RbNb2AsH
Source: Alexandria via LeMat-Bulk
Functional: PBE-GGA
Structure: optimized geometry

The calculation puts the spin magnetization at 0.00 μB/f.u. The final energy is -5.00 eV/atom. The density of states at the Fermi level comes out at 5.8 states/eV per cell.

The structure in POSCAR format:
```
RbNb2AsH
1.0
-2.765 3.264 -0.412
-3.760 -3.094 0.723
0.221 0.721 4.231
Rb Nb H As
1 2 1 1
Cartesian
-1.880 -1.547 0.362 Rb
0.110 0.360 2.115 Nb
-1.382 1.632 -0.206 Nb
0.000 0.000 0.000 H
-3.152 0.446 2.271 As
```